[1]
MgSi3Se: relaxed, PBE-GGA.

CIF file:
```
data_MgSi3Se
_cell_length_a 4.8825
_cell_length_b 4.8825
_cell_length_c 4.8825
_cell_angle_alpha 90.00
_cell_angle_beta 90.00
_cell_angle_gamma 90.00
_space_group_name_H-M_alt 'P 1'
_space_group_IT_number 1
_space_group_name_Hall 'P 1'
loop_
_atom_site_label
_atom_site_type_symbol
_atom_site_fract_x
_atom_site_fract_y
_atom_site_fract_z
Si1 Si 0.0000 0.5000 0.0000
Si2 Si 0.0000 0.0000 0.5000
Si3 Si 0.5000 0.0000 0.0000
Mg1 Mg 0.5000 0.5000 0.5000
Se1 Se 0.0000 0.0000 0.0000
```

Computed properties:
E above lowest polymorph (eV/atom): 0.000
Calculated volume (Å³/cell): 116.4

---

[2]
TmTh2U2Ru5: relaxed, PBE-GGA.

CIF file:
```
data_TmTh2U2Ru5
_cell_length_a 3.5874
_cell_length_b 10.7713
_cell_length_c 10.7713
_cell_angle_alpha 90.00
_cell_angle_beta 90.00
_cell_angle_gamma 90.00
_space_group_name_H-M_alt 'P 1'
_space_group_IT_number 1
_space_group_name_Hall 'P 1'
loop_
_atom_site_label
_atom_site_type_symbol
_atom_site_fract_x
_atom_site_fract_y
_atom_site_fract_z
Tm1 Tm 0.0000 0.0000 0.0000
Tm2 Tm 0.0000 0.5000 0.5000
Th1 Th 0.0000 0.6784 0.1784
Th2 Th 0.0000 0.3216 0.8216
Th3 Th 0.0000 0.1784 0.3216
Th4 Th 0.0000 0.8216 0.6784
U1 U 0.0000 0.1347 0.6347
U2 U 0.0000 0.8653 0.3653
U3 U 0.0000 0.6347 0.8653
U4 U 0.0000 0.3653 0.1347
Ru1 Ru 0.5000 0.2138 0.0468
Ru2 Ru 0.5000 0.7862 0.9532
Ru3 Ru 0.5000 0.0468 0.7862
Ru4 Ru 0.5000 0.7138 0.4532
Ru5 Ru 0.5000 0.9532 0.2138
Ru6 Ru 0.5000 0.2862 0.5468
Ru7 Ru 0.5000 0.5468 0.7138
Ru8 Ru 0.5000 0.4532 0.2862
Ru9 Ru 0.5000 0.5000 0.0000
Ru10 Ru 0.5000 0.0000 0.5000
```

Computed properties:
Calculated volume (Å³/cell): 416.2
DFT formation energy (eV per atom): -0.234

---

Q: Which formula does entry 2 have?
A: TmTh2U2Ru5

---

Q: Which formula does entry 1 have?
A: MgSi3Se